[1]
A plane-wave DFT calculation with PBE-GGA was carried out for a geometry-optimized ErTmPtRh structure.

Cell: 3.415 3.415 6.856 Å, 90.00 90.00 90.00°
Element x y z (fractional)
1 Er 0.500 0.500 0.613
2 Tm 0.500 0.500 0.101
3 Pt 0.000 0.000 0.355
4 Rh 0.000 0.000 0.859

Formation enthalpy at 0 K, eV per atom: -1.121
N(E_F), states/eV per atom: 0.421
Polymorph energy (0 for the lowest one), meV/atom: 0
Space-group type: No. 99

[2]
A plane-wave DFT calculation with PBE-GGA was carried out for a geometry-optimized CaPmLu structure.

Cell: 3.645 3.645 8.196 Å, 102.85 102.85 90.00°
Element x y z (fractional)
1 Ca 0.002 0.002 0.005
2 Lu 0.675 0.675 0.350
3 Pm 0.323 0.323 0.645

Formation enthalpy at 0 K, eV per atom: 0.069
N(E_F), states/eV per atom: 1.633
Polymorph energy (0 for the lowest one), meV/atom: 0
Space-group type: No. 107

[3]
A plane-wave DFT calculation with PBE-GGA was carried out for a geometry-optimized KHfTlBi2 structure.

Cell: 5.710 5.710 5.760 Å, 90.00 90.00 90.00°
Element x y z (fractional)
1 K 0.500 0.500 0.500
2 Tl 0.000 0.000 0.500
3 Hf 0.000 0.000 0.000
4 Bi 0.000 0.500 0.000
5 Bi 0.500 0.000 0.000

Formation enthalpy at 0 K, eV per atom: -0.053
N(E_F), states/eV per atom: 0.834
Space-group type: No. 123

[4]
A plane-wave DFT calculation with PBE-GGA was carried out for a geometry-optimized Ba3RhO5 structure.

Cell: 6.260 7.323 7.323 Å, 90.00 90.00 90.00°
Site moments in Bohr magnetons follow the coordinates.
Element x y z (fractional)
1 Ba 0.000 0.000 0.000  0.00
2 Ba 0.000 0.500 0.500  0.00
3 Ba 0.500 0.325 0.825  0.00
4 Ba 0.500 0.825 0.675  0.00
5 Ba 0.500 0.175 0.325  0.00
6 Ba 0.500 0.675 0.175  0.00
7 Rh 0.000 0.500 0.000  1.50
8 Rh 0.000 0.000 0.500  1.50
9 O 0.785 0.133 0.633  0.26
10 O 0.785 0.867 0.367  0.26
11 O 0.785 0.367 0.133  0.26
12 O 0.785 0.633 0.867  0.26
13 O 0.215 0.133 0.633  0.26
14 O 0.215 0.633 0.867  0.26
15 O 0.215 0.367 0.133  0.26
16 O 0.215 0.867 0.367  0.26
17 O 0.500 0.000 0.000  0.16
18 O 0.500 0.500 0.500  0.16

Uncorrected formation energy, eV/f.u.: -17.59
N(E_F), states/eV per atom: 0.090
Polymorph energy (0 for the lowest one), meV/atom: 0
Space-group type: No. 127

[5]
A plane-wave DFT calculation with PBE-GGA was carried out for a geometry-optimized RbBaCdFe2 structure.

Cell: 5.454 6.302 5.454 Å, 90.00 90.00 90.00°
Site moments in Bohr magnetons follow the coordinates.
Element x y z (fractional)
1 Fe 0.000 0.000 0.500  3.04
2 Fe 0.500 0.000 0.000  3.08
3 Ba 0.000 0.500 0.000  -0.07
4 Rb 0.000 0.000 0.000  -0.01
5 Cd 0.500 0.500 0.500  0.00

Formation enthalpy at 0 K, eV per atom: 1.756
N(E_F), states/eV per atom: 1.968
Space-group type: No. 123

[6]
A plane-wave DFT calculation with PBE-GGA was carried out for a geometry-optimized RbNbGeSe2 structure.

Cell: 5.176 5.142 5.176 Å, 90.00 90.00 90.00°
Element x y z (fractional)
1 Nb 0.000 0.000 0.000
2 Ge 0.000 0.500 0.000
3 Se 0.000 0.000 0.500
4 Se 0.500 0.000 0.000
5 Rb 0.500 0.500 0.500

Uncorrected formation energy, eV/f.u.: -2.10
N(E_F), states/eV per atom: 0.535
Space-group type: No. 123

[7]
A plane-wave DFT calculation with PBE-GGA was carried out for a geometry-optimized TiB3Pd structure.

Cell: 4.006 4.006 4.006 Å, 90.00 90.00 90.00°
Element x y z (fractional)
1 B 0.000 0.500 0.000
2 B 0.000 0.000 0.500
3 B 0.500 0.000 0.000
4 Pd 0.000 0.000 0.000
5 Ti 0.500 0.500 0.500

Formation enthalpy at 0 K, eV per atom: 1.197
N(E_F), states/eV per atom: 0.593
Polymorph energy (0 for the lowest one), meV/atom: 0
Space-group type: No. 221

[8]
A plane-wave DFT calculation with PBE-GGA was carried out for a geometry-optimized ZrPBr structure.

Cell: 7.217 7.137 3.366 Å, 77.76 75.12 27.12°
Element x y z (fractional)
1 Br 0.961 0.961 0.039
2 P 0.724 0.724 0.276
3 Zr 0.315 0.315 0.685

Uncorrected formation energy, eV/f.u.: -2.10
N(E_F), states/eV per atom: 0.001
Polymorph energy (0 for the lowest one), meV/atom: 284
Space-group type: No. 42